Record 1
# PBE Pa3InBi3, optimized geometry
data_Pa3InBi3
_chemical_formula_sum 'Pa6 In2 Bi6'
_cell_length_a 8.769
_cell_length_b 8.769
_cell_length_c 5.969
_cell_angle_alpha 90.00
_cell_angle_beta 90.00
_cell_angle_gamma 120.00
_symmetry_space_group_name_H-M 'P 1'
_symmetry_Int_Tables_number 1
loop_
_symmetry_equiv_pos_as_xyz
'x,y,z'
loop_
_atom_site_label
_atom_site_fract_x
_atom_site_fract_y
_atom_site_fract_z
_atom_site_occupancy
Pa1 0.131 0.474 0.250 1
Pa2 0.343 0.869 0.250 1
Pa3 0.474 0.343 0.750 1
Pa4 0.526 0.657 0.250 1
Pa5 0.657 0.131 0.750 1
Pa6 0.869 0.526 0.750 1
In1 0.333 0.667 0.750 1
In2 0.667 0.333 0.250 1
Bi1 0.068 0.276 0.750 1
Bi2 0.208 0.932 0.750 1
Bi3 0.276 0.208 0.250 1
Bi4 0.724 0.792 0.750 1
Bi5 0.792 0.068 0.250 1
Bi6 0.932 0.724 0.250 1
# Total moment   1.7 μB per formula unit
# ΔH_f (0 K)   0.029 eV/atom

---

Record 2
# PBE PaIn2Bi5, optimized geometry
data_PaIn2Bi5
_chemical_formula_sum 'Pa1 In2 Bi5'
_cell_length_a 6.790
_cell_length_b 6.790
_cell_length_c 6.790
_cell_angle_alpha 104.82
_cell_angle_beta 104.82
_cell_angle_gamma 119.24
_symmetry_space_group_name_H-M 'P 1'
_symmetry_Int_Tables_number 1
loop_
_symmetry_equiv_pos_as_xyz
'x,y,z'
loop_
_atom_site_label
_atom_site_fract_x
_atom_site_fract_y
_atom_site_fract_z
_atom_site_occupancy
Pa1 0.000 0.000 0.000 1
In1 0.000 0.500 0.500 1
In2 0.500 0.000 0.500 1
Bi1 0.000 0.000 0.500 1
Bi2 0.000 0.500 0.000 1
Bi3 0.500 0.000 0.000 1
Bi4 0.500 0.500 0.000 1
Bi5 0.500 0.500 0.500 1
# Total moment   0.0 μB per formula unit
# ΔH_f (0 K)   -0.031 eV/atom

---

Record 3
# PBE Pa2InBi, optimized geometry
data_Pa2InBi
_chemical_formula_sum 'Pa2 In1 Bi1'
_cell_length_a 3.583
_cell_length_b 3.583
_cell_length_c 8.389
_cell_angle_alpha 90.00
_cell_angle_beta 90.00
_cell_angle_gamma 90.00
_symmetry_space_group_name_H-M 'P 1'
_symmetry_Int_Tables_number 1
loop_
_symmetry_equiv_pos_as_xyz
'x,y,z'
loop_
_atom_site_label
_atom_site_fract_x
_atom_site_fract_y
_atom_site_fract_z
_atom_site_occupancy
Pa1 0.000 0.000 0.245 1
Pa2 0.000 0.000 0.755 1
In1 0.500 0.500 0.500 1
Bi1 0.500 0.500 0.000 1
# Total moment   1.1 μB per formula unit
# ΔH_f (0 K)   0.059 eV/atom
# ΔE to the lowest computed polymorph   7.8 meV per atom

---

Record 4
# PBE PaInBi, optimized geometry
data_PaInBi
_chemical_formula_sum 'Pa1 In1 Bi1'
_cell_length_a 6.031
_cell_length_b 6.031
_cell_length_c 6.031
_cell_angle_alpha 142.12
_cell_angle_beta 142.12
_cell_angle_gamma 54.65
_symmetry_space_group_name_H-M 'P 1'
_symmetry_Int_Tables_number 1
loop_
_symmetry_equiv_pos_as_xyz
'x,y,z'
loop_
_atom_site_label
_atom_site_fract_x
_atom_site_fract_y
_atom_site_fract_z
_atom_site_occupancy
Pa1 0.000 0.000 0.000 1
In1 0.326 0.326 0.000 1
Bi1 0.669 0.669 0.000 1
# Total moment   0.9 μB per formula unit
# ΔH_f (0 K)   0.090 eV/atom
# ΔE to the lowest computed polymorph   165.6 meV per atom

---

Record 5
# PBE PaInBi, optimized geometry
data_PaInBi
_chemical_formula_sum 'Pa1 In1 Bi1'
_cell_length_a 5.465
_cell_length_b 5.465
_cell_length_c 3.167
_cell_angle_alpha 90.00
_cell_angle_beta 90.00
_cell_angle_gamma 120.00
_symmetry_space_group_name_H-M 'P 1'
_symmetry_Int_Tables_number 1
loop_
_symmetry_equiv_pos_as_xyz
'x,y,z'
loop_
_atom_site_label
_atom_site_fract_x
_atom_site_fract_y
_atom_site_fract_z
_atom_site_occupancy
Pa1 0.000 0.000 0.000 1
In1 0.667 0.333 0.500 1
Bi1 0.333 0.667 0.500 1
# Total moment   1.1 μB per formula unit
# ΔH_f (0 K)   0.098 eV/atom
# ΔE to the lowest computed polymorph   173.4 meV per atom

---

Record 6
# PBE PmPaInBi, optimized geometry
data_PmPaInBi
_chemical_formula_sum 'Pm1 Pa1 In1 Bi1'
_cell_length_a 5.454
_cell_length_b 5.454
_cell_length_c 5.454
_cell_angle_alpha 60.00
_cell_angle_beta 60.00
_cell_angle_gamma 60.00
_symmetry_space_group_name_H-M 'P 1'
_symmetry_Int_Tables_number 1
loop_
_symmetry_equiv_pos_as_xyz
'x,y,z'
loop_
_atom_site_label
_atom_site_fract_x
_atom_site_fract_y
_atom_site_fract_z
_atom_site_occupancy
Pm1 0.000 0.000 0.000 1
Pa1 0.500 0.500 0.500 1
In1 0.750 0.750 0.750 1
Bi1 0.250 0.250 0.250 1
# Total moment   2.5 μB per formula unit
# ΔH_f (0 K)   -0.151 eV/atom

---

Record 7
# PBE Pu2PaInBi4, optimized geometry
data_Pu2PaInBi4
_chemical_formula_sum 'Pu2 Pa1 In1 Bi4'
_cell_length_a 9.451
_cell_length_b 9.451
_cell_length_c 9.451
_cell_angle_alpha 33.96
_cell_angle_beta 33.96
_cell_angle_gamma 33.96
_symmetry_space_group_name_H-M 'P 1'
_symmetry_Int_Tables_number 1
loop_
_symmetry_equiv_pos_as_xyz
'x,y,z'
loop_
_atom_site_label
_atom_site_fract_x
_atom_site_fract_y
_atom_site_fract_z
_atom_site_occupancy
Pu1 0.238 0.238 0.238 1
Pu2 0.762 0.762 0.762 1
Pa1 0.000 0.000 0.000 1
In1 0.500 0.500 0.500 1
Bi1 0.118 0.118 0.118 1
Bi2 0.371 0.371 0.371 1
Bi3 0.629 0.629 0.629 1
Bi4 0.882 0.882 0.882 1
# Total moment   11.4 μB per formula unit
# ΔH_f (0 K)   -0.175 eV/atom

---

Record 8
# PBE In2BiPb, optimized geometry
data_In2BiPb
_chemical_formula_sum 'In2 Bi1 Pb1'
_cell_length_a 5.001
_cell_length_b 5.001
_cell_length_c 4.784
_cell_angle_alpha 90.00
_cell_angle_beta 90.00
_cell_angle_gamma 90.00
_symmetry_space_group_name_H-M 'P 1'
_symmetry_Int_Tables_number 1
loop_
_symmetry_equiv_pos_as_xyz
'x,y,z'
loop_
_atom_site_label
_atom_site_fract_x
_atom_site_fract_y
_atom_site_fract_z
_atom_site_occupancy
In1 0.000 0.500 0.000 1
In2 0.500 0.000 0.000 1
Bi1 0.000 0.000 0.500 1
Pb1 0.500 0.500 0.500 1
# Total moment   0.0 μB per formula unit
# ΔH_f (0 K)   0.027 eV/atom
# ΔE to the lowest computed polymorph   2.3 meV per atom

---

Record 9
# PBE InBi2Pb6, optimized geometry
data_InBi2Pb6
_chemical_formula_sum 'In1 Bi2 Pb6'
_cell_length_a 8.260
_cell_length_b 8.260
_cell_length_c 11.988
_cell_angle_alpha 121.03
_cell_angle_beta 121.03
_cell_angle_gamma 24.34
_symmetry_space_group_name_H-M 'P 1'
_symmetry_Int_Tables_number 1
loop_
_symmetry_equiv_pos_as_xyz
'x,y,z'
loop_
_atom_site_label
_atom_site_fract_x
_atom_site_fract_y
_atom_site_fract_z
_atom_site_occupancy
In1 0.000 0.000 0.000 1
Bi1 0.346 0.346 0.705 1
Bi2 0.654 0.654 0.295 1
Pb1 0.049 0.049 0.750 1
Pb2 0.227 0.227 0.102 1
Pb3 0.375 0.375 0.447 1
Pb4 0.625 0.625 0.553 1
Pb5 0.773 0.773 0.898 1
Pb6 0.951 0.951 0.250 1
# Total moment   0.0 μB per formula unit
# ΔH_f (0 K)   0.047 eV/atom
# ΔE to the lowest computed polymorph   9.9 meV per atom

---

Record 10
# PBE InBi4Pb8, optimized geometry
data_InBi4Pb8
_chemical_formula_sum 'In1 Bi4 Pb8'
_cell_length_a 3.489
_cell_length_b 5.444
_cell_length_c 22.590
_cell_angle_alpha 90.00
_cell_angle_beta 92.29
_cell_angle_gamma 90.00
_symmetry_space_group_name_H-M 'P 1'
_symmetry_Int_Tables_number 1
loop_
_symmetry_equiv_pos_as_xyz
'x,y,z'
loop_
_atom_site_label
_atom_site_fract_x
_atom_site_fract_y
_atom_site_fract_z
_atom_site_occupancy
In1 0.000 0.000 0.000 1
Bi1 0.225 0.500 0.473 1
Bi2 0.459 0.000 0.716 1
Bi3 0.503 0.500 0.947 1
Bi4 0.616 0.000 0.276 1
Pb1 0.014 0.000 0.143 1
Pb2 0.143 0.500 0.326 1
Pb3 0.323 0.000 0.570 1
Pb4 0.400 0.000 0.864 1
Pb5 0.508 0.500 0.091 1
Pb6 0.708 0.000 0.422 1
Pb7 0.816 0.500 0.628 1
Pb8 0.858 0.500 0.783 1
# Total moment   0.0 μB per formula unit
# ΔH_f (0 K)   0.036 eV/atom

---

Record 11
# PBE InBi3Pb2, optimized geometry
data_InBi3Pb2
_chemical_formula_sum 'In2 Bi6 Pb4'
_cell_length_a 6.510
_cell_length_b 6.510
_cell_length_c 11.517
_cell_angle_alpha 113.07
_cell_angle_beta 113.07
_cell_angle_gamma 62.71
_symmetry_space_group_name_H-M 'P 1'
_symmetry_Int_Tables_number 1
loop_
_symmetry_equiv_pos_as_xyz
'x,y,z'
loop_
_atom_site_label
_atom_site_fract_x
_atom_site_fract_y
_atom_site_fract_z
_atom_site_occupancy
In1 0.126 0.874 0.750 1
In2 0.874 0.126 0.250 1
Bi1 0.018 0.639 0.415 1
Bi2 0.346 0.654 0.250 1
Bi3 0.361 0.982 0.085 1
Bi4 0.639 0.018 0.915 1
Bi5 0.654 0.346 0.750 1
Bi6 0.982 0.361 0.585 1
Pb1 0.153 0.524 0.914 1
Pb2 0.476 0.847 0.586 1
Pb3 0.524 0.153 0.414 1
Pb4 0.847 0.476 0.086 1
# Total moment   0.0 μB per formula unit
# ΔH_f (0 K)   0.040 eV/atom

---

Record 12
# PBE In3Bi2Pb3, optimized geometry
data_In3Bi2Pb3
_chemical_formula_sum 'In3 Bi2 Pb3'
_cell_length_a 4.933
_cell_length_b 5.007
_cell_length_c 10.446
_cell_angle_alpha 76.21
_cell_angle_beta 76.56
_cell_angle_gamma 89.87
_symmetry_space_group_name_H-M 'P 1'
_symmetry_Int_Tables_number 1
loop_
_symmetry_equiv_pos_as_xyz
'x,y,z'
loop_
_atom_site_label
_atom_site_fract_x
_atom_site_fract_y
_atom_site_fract_z
_atom_site_occupancy
In1 0.000 0.000 0.000 1
In2 0.381 0.880 0.240 1
In3 0.619 0.120 0.760 1
Bi1 0.248 0.247 0.506 1
Bi2 0.752 0.753 0.494 1
Pb1 0.122 0.628 0.745 1
Pb2 0.500 0.500 0.000 1
Pb3 0.878 0.372 0.255 1
# Total moment   0.0 μB per formula unit
# ΔH_f (0 K)   0.033 eV/atom
# ΔE to the lowest computed polymorph   15.1 meV per atom